Model P:
VASP calculation (PBE) on a relaxed structure of BaSiI3.

Summary:
Theoretical density = 4.707 g cm⁻³
D(E_F) = 2.98 states/eV/f.u.

Cell: 5.7757 5.7757 5.7757 Å, 90.00 90.00 90.00°
Closest atoms and distances in Å follow each position.
Fractional positions:
Ba (0.0000, 0.0000, 0.0000)  12 I 4.08
Si (0.5000, 0.5000, 0.5000)  6 I 2.89
I (0.0000, 0.5000, 0.5000)  2 Si 2.89
I (0.5000, 0.0000, 0.5000)  2 Si 2.89
I (0.5000, 0.5000, 0.0000)  2 Si 2.89

Model Q:
VASP calculation (PBE) on a relaxed structure of BaSiI3.

Summary:
Theoretical density = 3.011 g cm⁻³
D(E_F) = 5.79 states/eV/f.u.

Cell: 6.7033 6.7033 6.7033 Å, 90.00 90.00 90.00°
Closest atoms and distances in Å follow each position.
Fractional positions:
Ba (0.0000, 0.0000, 0.0000)  6 I 3.35
Si (0.5000, 0.5000, 0.5000)  12 I 4.74
I (0.0000, 0.0000, 0.5000)  2 Ba 3.35
I (0.0000, 0.5000, 0.0000)  2 Ba 3.35
I (0.5000, 0.0000, 0.0000)  2 Ba 3.35

The least stable of them is model Q.

Model P:
VASP calculation (PBE) on a relaxed structure of BaSi2I.

Summary:
Theoretical density = 4.148 g cm⁻³
D(E_F) = 4.67 states/eV/f.u.

Cell: 7.0962 7.0962 7.0962 Å, 101.69 101.69 126.50°
Closest atoms and distances in Å follow each position.
Fractional positions:
Ba (0.0000, 0.0000, 0.0000)  2 I 3.19, 4 Si 3.42
Ba (0.7500, 0.2500, 0.5000)  2 I 3.19, 4 Si 3.42
Si (0.1489, 0.1250, 0.5239)  2 I 3.12, 2 Si 3.22, 2 Ba 3.42
Si (0.3750, 0.8511, 0.9761)  2 I 3.12, 2 Si 3.22, 2 Ba 3.42
Si (0.6011, 0.6250, 0.4761)  2 I 3.12, 2 Si 3.22, 2 Ba 3.42
Si (0.8750, 0.3989, 0.0239)  2 I 3.12, 2 Si 3.22, 2 Ba 3.42
I (0.2500, 0.7500, 0.5000)  4 Si 3.12, 2 Ba 3.19
I (0.5000, 0.5000, 0.0000)  4 Si 3.12, 2 Ba 3.19

Model Q:
VASP calculation (PBE) on a relaxed structure of BaSi2I.

Summary:
Theoretical density = 4.536 g cm⁻³
D(E_F) = 3.73 states/eV/f.u.

Cell: 5.4943 5.4943 5.4943 Å, 60.00 60.00 60.00°
Closest atoms and distances in Å follow each position.
Fractional positions:
Ba (0.0000, 0.0000, 0.0000)  8 Si 3.36
Si (0.2500, 0.2500, 0.2500)  4 Ba 3.36, 4 I 3.36
Si (0.7500, 0.7500, 0.7500)  4 Ba 3.36, 4 I 3.36
I (0.5000, 0.5000, 0.5000)  8 Si 3.36

The least stable of them is model Q.

Model P:
VASP calculation (PBE) on a relaxed structure of BaSi3I.

Summary:
Theoretical density = 2.686 g cm⁻³
D(E_F) = 4.45 states/eV/f.u.

Cell: 5.9947 5.9947 5.9947 Å, 90.00 90.00 90.00°
Closest atoms and distances in Å follow each position.
Fractional positions:
Ba (0.0000, 0.0000, 0.0000)  6 Si 3.00
Si (0.0000, 0.0000, 0.5000)  2 Ba 3.00
Si (0.0000, 0.5000, 0.0000)  2 Ba 3.00
Si (0.5000, 0.0000, 0.0000)  2 Ba 3.00
I (0.5000, 0.5000, 0.5000)  12 Si 4.24

Model Q:
VASP calculation (PBE) on a relaxed structure of BaSi3I.

Summary:
Theoretical density = 3.632 g cm⁻³
D(E_F) = 5.26 states/eV/f.u.

Cell: 5.4214 5.4214 5.4214 Å, 90.00 90.00 90.00°
Closest atoms and distances in Å follow each position.
Fractional positions:
Ba (0.0000, 0.0000, 0.0000)  12 Si 3.83
Si (0.0000, 0.5000, 0.5000)  2 I 2.71
Si (0.5000, 0.0000, 0.5000)  2 I 2.71
Si (0.5000, 0.5000, 0.0000)  2 I 2.71
I (0.5000, 0.5000, 0.5000)  6 Si 2.71

The least stable of them is model P.

Model P:
VASP calculation (PBE) on a relaxed structure of BaSiTeI2.

Summary:
Theoretical density = 3.124 g cm⁻³
D(E_F) = 9.10 states/eV/f.u.

Cell: 6.5381 6.5381 6.7990 Å, 90.00 90.00 90.00°
Closest atoms and distances in Å follow each position.
Fractional positions:
Ba (0.0000, 0.0000, 0.0000)  4 I 3.27, 2 Te 3.40
Si (0.5000, 0.5000, 0.5000)  4 Te 4.62, 8 I 4.72
Te (0.0000, 0.0000, 0.5000)  2 Ba 3.40
I (0.0000, 0.5000, 0.0000)  2 Ba 3.27
I (0.5000, 0.0000, 0.0000)  2 Ba 3.27

Model Q:
VASP calculation (PBE) on a relaxed structure of BaSiTeI2.

Summary:
Theoretical density = 4.986 g cm⁻³
D(E_F) = 0.77 states/eV/f.u.

Cell: 5.6394 5.6394 5.7260 Å, 90.00 90.00 90.00°
Closest atoms and distances in Å follow each position.
Fractional positions:
Ba (0.0000, 0.0000, 0.0000)  4 Te 3.99, 8 I 4.02
Si (0.5000, 0.5000, 0.5000)  4 I 2.82, 2 Te 2.86
Te (0.5000, 0.5000, 0.0000)  2 Si 2.86
I (0.0000, 0.5000, 0.5000)  2 Si 2.82
I (0.5000, 0.0000, 0.5000)  2 Si 2.82

The least stable of them is model P.